Entry 1:
# La2Pr5SmTm | Alexandria via LeMat-Bulk | PBE-GGA | relaxed
data_La2Pr5SmTm
_cell_length_a 8.7356
_cell_length_b 8.7356
_cell_length_c 10.4631
_cell_angle_alpha 114.67
_cell_angle_beta 114.67
_cell_angle_gamma 90.00
_space_group_name_H-M_alt 'P 1'
_space_group_IT_number 1
loop_
_space_group_symop_operation_xyz
'x,y,z'
loop_
_atom_site_label
_atom_site_type_symbol
_atom_site_fract_x
_atom_site_fract_y
_atom_site_fract_z
La1 La 0.1213 0.3787 0.0000
La2 La 0.6213 0.1213 0.0000
La3 La 0.3787 0.8787 0.0000
La4 La 0.8787 0.6213 0.0000
Pr1 Pr 0.9230 0.4230 0.2885
Pr2 Pr 0.6345 0.1345 0.7115
Pr3 Pr 0.0770 0.5770 0.7115
Pr4 Pr 0.1345 0.0770 0.7115
Pr5 Pr 0.5770 0.6345 0.7115
Pr6 Pr 0.8655 0.9230 0.2885
Pr7 Pr 0.4230 0.3655 0.2885
Pr8 Pr 0.3655 0.8655 0.2885
Pr9 Pr 0.5000 0.5000 0.0000
Pr10 Pr 0.0000 0.0000 0.0000
Sm1 Sm 0.2500 0.2500 0.5000
Sm2 Sm 0.7500 0.7500 0.5000
Tm1 Tm 0.2500 0.7500 0.5000
Tm2 Tm 0.7500 0.2500 0.5000
# Fermi-level density of states ... 27.09 states/eV per cell
# VASP energy ... -4.524 eV/atom
# Volume ... 35.80 A^3/atom
# Theoretical density ... 6.7 g/cm3
# M_tot ... 0.0 μB per formula unit


Entry 2:
# IrCl3 | Alexandria via LeMat-Bulk | PBE-GGA | relaxed
data_IrCl3
_cell_length_a 3.0969
_cell_length_b 3.0969
_cell_length_c 9.1004
_cell_angle_alpha 90.00
_cell_angle_beta 90.00
_cell_angle_gamma 90.00
_space_group_name_H-M_alt 'P 1'
_space_group_IT_number 1
loop_
_space_group_symop_operation_xyz
'x,y,z'
loop_
_atom_site_label
_atom_site_type_symbol
_atom_site_fract_x
_atom_site_fract_y
_atom_site_fract_z
Ir1 Ir 0.5000 0.5000 0.7500
Cl1 Cl 0.0000 0.0000 0.9122
Cl2 Cl 0.5000 0.5000 0.2500
Cl3 Cl 0.0000 0.0000 0.5878
# Fermi-level density of states ... 5.42 states/eV per cell
# VASP energy ... -2.893 eV/atom
# Volume ... 21.82 A^3/atom
# Formation energy from raw total energies ... 0.707 eV per atom
# Theoretical density ... 5.7 g/cm3
# M_tot ... 1.2 μB per formula unit